Crystalline Pu2ThCo at its relaxed geometry. Source: Alexandria, functional GGA-PBE.

Crystal system: tetragonal
Fermi-level density of states, states/eV per cell: 13.997
Electronic total energy, Ha/atom: -0.3932
DFT formation energy, eV per formula unit: 0.4
Volume, Å³ per atom: 22.5
Distance to the lowest polymorph of the same formula, eV per formula unit: 0.000

Cell lengths 3.487, 3.487, 7.391 Å; angles 90.00, 90.00, 90.00 degrees
Fractional coordinates of all 4 atoms:
Pu 0.000 0.000 0.199
Pu 0.000 0.000 0.801
Th 0.500 0.500 0.500
Co 0.500 0.500 0.000


Crystalline AgI4 at its relaxed geometry. Source: Alexandria, functional GGA-PBE.

Crystal system: triclinic
Electronic total energy, Ha/atom: -0.0694
Volume, Å³ per atom: 51.6
Raw formation energy, eV per formula unit: -0.393
Distance to the lowest polymorph of the same formula, eV per formula unit: 0.000

Cell lengths 4.664, 9.334, 12.574 Å; angles 72.60, 81.68, 84.50 degrees
Fractional coordinates of all 10 atoms:
Ag 0.000 0.000 0.000
Ag 0.374 0.847 0.501
I 0.062 0.791 0.864
I 0.250 0.010 0.656
I 0.416 0.538 0.529
I 0.448 0.374 0.759
I 0.464 0.173 0.000
I 0.874 0.554 0.082
I 0.901 0.758 0.219
I 0.905 0.964 0.356


Crystalline CsFe2PSe at its relaxed geometry. Source: Alexandria, functional GGA-PBE.

Crystal system: tetragonal
Fermi-level density of states, states/eV per cell: 5.549
Electronic total energy, Ha/atom: -0.1077
Volume, Å³ per atom: 28.5
Raw formation energy, eV per formula unit: 12.022

Cell lengths 4.844, 4.844, 6.070 Å; angles 90.00, 90.00, 90.00 degrees
Fractional coordinates of all 5 atoms:
Cs 0.000 0.000 0.000
Fe 0.000 0.500 0.000
Fe 0.500 0.000 0.000
P 0.500 0.500 0.500
Se 0.000 0.000 0.500


Crystalline CaLa2Hg at its relaxed geometry. Source: Alexandria, functional GGA-PBE.

Crystal system: cubic
Fermi-level density of states, states/eV per cell: 5.750
Electronic total energy, Ha/atom: -0.1132
DFT formation energy, eV per formula unit: -0.2
Volume, Å³ per atom: 31.5

Cell lengths 5.630, 5.630, 5.630 Å; angles 60.00, 60.00, 60.00 degrees
Fractional coordinates of all 4 atoms:
Ca 0.000 0.000 0.000
La 0.500 0.500 0.500
La 0.750 0.750 0.750
Hg 0.250 0.250 0.250


Crystalline Sm2Dy6Y3 at its relaxed geometry. Source: Alexandria, functional GGA-PBE.

Crystal system: tetragonal
Fermi-level density of states, states/eV per cell: 16.218
Electronic total energy, Ha/atom: -0.1787
DFT formation energy, eV per formula unit: 3.0
Volume, Å³ per atom: 33.9
Distance to the lowest polymorph of the same formula, eV per formula unit: 0.874

Cell lengths 16.890, 16.890, 16.890 Å; angles 163.85, 163.85, 22.91 degrees
Fractional coordinates of all 11 atoms:
Sm 0.046 0.046 0.000
Sm 0.954 0.954 0.000
Dy 0.121 0.621 0.500
Dy 0.194 0.194 0.000
Dy 0.379 0.879 0.500
Dy 0.621 0.121 0.500
Dy 0.806 0.806 0.000
Dy 0.879 0.379 0.500
Y 0.298 0.298 0.000
Y 0.500 0.500 0.000
Y 0.702 0.702 0.000


Crystalline Pu6InSn2 at its relaxed geometry. Source: Alexandria, functional GGA-PBE.

Crystal system: hexagonal
Fermi-level density of states, states/eV per cell: 28.418
Electronic total energy, Ha/atom: -0.3995
DFT formation energy, eV per formula unit: -1.1
Volume, Å³ per atom: 25.7

Cell lengths 9.005, 9.005, 3.292 Å; angles 90.00, 90.00, 120.00 degrees
Fractional coordinates of all 9 atoms:
Pu 0.000 0.335 0.000
Pu 0.000 0.665 0.000
Pu 0.335 0.000 0.000
Pu 0.335 0.335 0.000
Pu 0.665 0.000 0.000
Pu 0.665 0.665 0.000
In 0.000 0.000 0.500
Sn 0.333 0.667 0.500
Sn 0.667 0.333 0.500


Crystalline ZrNpSe2 at its relaxed geometry. Source: Alexandria, functional GGA-PBE.

Crystal system: trigonal
Fermi-level density of states, states/eV per cell: 10.049
Electronic total energy, Ha/atom: -0.2799
Volume, Å³ per atom: 27.4
Raw formation energy, eV per formula unit: -2.011
Distance to the lowest polymorph of the same formula, eV per formula unit: 2.250

Cell lengths 9.220, 9.220, 9.220 Å; angles 23.53, 23.53, 23.53 degrees
Fractional coordinates of all 4 atoms:
Zr 0.000 0.000 0.000
Np 0.500 0.500 0.500
Se 0.097 0.097 0.097
Se 0.903 0.903 0.903


Crystalline Ca2Cr2Si at its relaxed geometry. Source: Alexandria, functional GGA-PBE.

Crystal system: tetragonal
Fermi-level density of states, states/eV per cell: 4.668
Electronic total energy, Ha/atom: -0.1982
Volume, Å³ per atom: 20.2
Raw formation energy, eV per formula unit: 1.708

Cell lengths 6.461, 6.461, 4.837 Å; angles 90.00, 90.00, 90.00 degrees
Fractional coordinates of all 10 atoms:
Ca 0.186 0.314 0.000
Ca 0.314 0.814 0.000
Ca 0.686 0.186 0.000
Ca 0.814 0.686 0.000
Cr 0.104 0.604 0.500
Cr 0.396 0.104 0.500
Cr 0.604 0.896 0.500
Cr 0.896 0.396 0.500
Si 0.000 0.000 0.500
Si 0.500 0.500 0.500


no.,theoretical density (Mg/m³)
1,14.393
2,3.961
3,4.133
4,6.825
5,6.876
6,13.046
7,7.360
8,3.490